PBE-GGA TbYErCd, relaxed; crystal system = cubic; symmetry = F-43m (216); total magnetic moment = 0.008 μB per cell; E_tot = -4.171 eV/atom
1.0
0.0000 3.8468 3.8468
3.8468 0.0000 3.8468
3.8468 3.8468 0.0000
Tb Y Er Cd
1 1 1 1
Direct
0.0000 0.0000 0.0000 Tb
0.5000 0.5000 0.5000 Y
0.7500 0.7500 0.7500 Er
0.2500 0.2500 0.2500 Cd



PBE-GGA TbErZnCd, relaxed; crystal system = cubic; symmetry = F-43m (216); total magnetic moment = 0.000 μB per cell; E_tot = -3.159 eV/atom
1.0
0.0000 3.6569 3.6569
3.6569 0.0000 3.6569
3.6569 3.6569 0.0000
Tb Er Zn Cd
1 1 1 1
Direct
0.0000 0.0000 0.0000 Tb
0.5000 0.5000 0.5000 Er
0.7500 0.7500 0.7500 Zn
0.2500 0.2500 0.2500 Cd



PBE-GGA TbErZnCd, relaxed; crystal system = tetragonal; symmetry = P4mm (99); total magnetic moment = 0.001 μB per cell; E_tot = -3.178 eV/atom
1.0
3.5837 0.0000 0.0000
0.0000 3.5837 0.0000
0.0000 0.0000 7.5538
Tb Er Zn Cd
1 1 1 1
Direct
0.0000 0.0000 0.0000 Tb
0.0000 0.0000 0.4603 Er
0.5000 0.5000 0.2372 Zn
0.5000 0.5000 0.7243 Cd



PBE-GGA TbErZrCd, relaxed; crystal system = cubic; symmetry = F-43m (216); total magnetic moment = 2.002 μB per cell; E_tot = -4.616 eV/atom
1.0
0.0000 3.7499 3.7499
3.7499 0.0000 3.7499
3.7499 3.7499 0.0000
Tb Er Zr Cd
1 1 1 1
Direct
0.0000 0.0000 0.0000 Tb
0.5000 0.5000 0.5000 Er
0.7500 0.7500 0.7500 Zr
0.2500 0.2500 0.2500 Cd



PBE-GGA Er3Cd2Tc, relaxed; crystal system = orthorhombic; symmetry = Cmmm (65); total magnetic moment = 0.000 μB per cell; E_tot = -4.562 eV/atom
1.0
2.5193 -7.4996 0.0000
2.5193 7.4996 0.0000
0.0000 0.0000 7.4728
Er Cd Tc
6 4 2
Direct
0.0000 0.0000 0.2290 Er
0.0000 0.0000 0.7710 Er
0.3254 0.6746 0.2211 Er
0.3254 0.6746 0.7789 Er
0.6746 0.3254 0.2211 Er
0.6746 0.3254 0.7789 Er
0.1651 0.8349 0.5000 Cd
0.5000 0.5000 0.0000 Cd
0.5000 0.5000 0.5000 Cd
0.8349 0.1651 0.5000 Cd
0.1625 0.8375 0.0000 Tc
0.8375 0.1625 0.0000 Tc



PBE-GGA Er3CdTc, relaxed; crystal system = monoclinic; symmetry = C2/m (12); total magnetic moment = 0.000 μB per cell; E_tot = -5.112 eV/atom
1.0
8.4005 -1.7450 0.0000
8.4005 1.7450 0.0000
-6.3261 0.0000 8.8380
Er Cd Tc
6 2 2
Direct
0.0756 0.0756 0.4443 Er
0.3172 0.3172 0.2038 Er
0.3779 0.3779 0.7993 Er
0.6221 0.6221 0.2007 Er
0.6828 0.6828 0.7962 Er
0.9244 0.9244 0.5557 Er
0.0809 0.0809 0.9156 Cd
0.9191 0.9191 0.0844 Cd
0.2650 0.2650 0.4253 Tc
0.7350 0.7350 0.5747 Tc



PBE-GGA Er6CdTc2, relaxed; crystal system = orthorhombic; symmetry = Immm (71); total magnetic moment = 0.000 μB per cell; E_tot = -5.597 eV/atom
1.0
-4.7306 4.7421 5.1400
4.7306 -4.7421 5.1400
4.7306 4.7421 -5.1400
Er Cd Tc
12 2 4
Direct
0.0221 0.8171 0.2050 Er
0.2358 0.5246 0.2888 Er
0.2358 0.9471 0.7112 Er
0.2825 0.3105 0.5930 Er
0.2825 0.6895 0.9720 Er
0.3880 0.1829 0.2050 Er
0.6120 0.8171 0.7950 Er
0.7175 0.3105 0.0280 Er
0.7175 0.6895 0.4070 Er
0.7642 0.0529 0.2888 Er
0.7642 0.4754 0.7112 Er
0.9779 0.1829 0.7950 Er
0.0000 0.5000 0.5000 Cd
0.5000 0.0000 0.5000 Cd
0.0000 0.1324 0.1324 Tc
0.0000 0.8676 0.8676 Tc
0.3837 0.3837 0.0000 Tc
0.6163 0.6163 0.0000 Tc



PBE-GGA Er6CdTc, relaxed; crystal system = monoclinic; symmetry = C2/m (12); total magnetic moment = 0.000 μB per cell; E_tot = -4.716 eV/atom
1.0
3.5810 -5.5514 0.0000
3.5810 5.5514 0.0000
-2.4081 0.0000 6.0151
Er Cd Tc
6 1 1
Direct
0.0148 0.3964 0.2431 Er
0.2295 0.2295 0.7642 Er
0.3964 0.0148 0.2431 Er
0.6036 0.9852 0.7569 Er
0.7705 0.7705 0.2358 Er
0.9852 0.6036 0.7569 Er
0.5000 0.5000 0.5000 Cd
0.0000 0.0000 0.0000 Tc



PBE-GGA Er7Cd2Tc2, relaxed; crystal system = orthorhombic; symmetry = Cmmm (65); total magnetic moment = 0.000 μB per cell; E_tot = -4.984 eV/atom
1.0
3.5675 -5.5133 0.0000
3.5675 5.5133 0.0000
0.0000 0.0000 7.5952
Er Cd Tc
7 2 2
Direct
0.0000 0.0000 0.0000 Er
0.0000 0.5000 0.2685 Er
0.0000 0.5000 0.7315 Er
0.5000 0.0000 0.2685 Er
0.5000 0.0000 0.7315 Er
0.5000 0.5000 0.2179 Er
0.5000 0.5000 0.7821 Er
0.1885 0.1885 0.5000 Cd
0.8115 0.8115 0.5000 Cd
0.2997 0.7003 0.0000 Tc
0.7003 0.2997 0.0000 Tc



PBE-GGA ErCdTc, relaxed; crystal system = orthorhombic; symmetry = Fmmm (69); total magnetic moment = 0.000 μB per cell; E_tot = -5.052 eV/atom
1.0
0.0000 3.3329 9.0407
2.4958 0.0000 9.0407
2.4958 3.3329 0.0000
Er Cd Tc
2 2 2
Direct
0.1023 0.1023 0.8977 Er
0.8977 0.8977 0.1023 Er
0.2500 0.2500 0.2500 Cd
0.7500 0.7500 0.7500 Cd
0.3259 0.6741 0.3259 Tc
0.6741 0.3259 0.6741 Tc